[1]
# KMgIn2Pb4 | the Alexandria database | PBE | relaxed
data_KMgIn2Pb4
_cell_length_a 5.4847
_cell_length_b 5.4847
_cell_length_c 28.9329
_cell_angle_alpha 90.00
_cell_angle_beta 90.00
_cell_angle_gamma 120.00
_space_group_name_H-M_alt 'R -3 m'
_space_group_IT_number 166
_space_group_name_Hall '-R 3 2"'
loop_
_atom_site_label
_atom_site_type_symbol
_atom_site_fract_x
_atom_site_fract_y
_atom_site_fract_z
K1 K 0.0000 0.0000 0.0000
Mg1 Mg 0.0000 0.0000 0.5000
In1 In 0.0000 0.0000 0.2449
Pb1 Pb 0.0000 0.0000 0.1289
Pb2 Pb 0.0000 0.0000 0.3978
# **DFT total energy**: -0.1063 hartree per atom
# **D(E_F)**: 14.40 states/eV/cell

[2]
# KMgIn2Pd | the Alexandria database | PBE | relaxed
data_KMgIn2Pd
_cell_length_a 5.257
_cell_length_b 5.257
_cell_length_c 5.194
_cell_angle_alpha 90.00
_cell_angle_beta 90.00
_cell_angle_gamma 90.00
_space_group_name_H-M_alt 'P 4/m m m'
_space_group_IT_number 123
_space_group_name_Hall '-P 4 2'
loop_
_atom_site_label
_atom_site_type_symbol
_atom_site_fract_x
_atom_site_fract_y
_atom_site_fract_z
K1 K 0.000 0.000 0.000
Mg1 Mg 0.500 0.500 0.000
In1 In 0.000 0.500 0.500
Pd1 Pd 0.500 0.500 0.500
# **DFT total energy**: -0.1064 hartree per atom
# **D(E_F)**: 2.62 states/eV/cell

[3]
# KMg2InPd | the Alexandria database | PBE | relaxed
data_KMg2InPd
_cell_length_a 5.192
_cell_length_b 5.192
_cell_length_c 5.223
_cell_angle_alpha 90.00
_cell_angle_beta 90.00
_cell_angle_gamma 90.00
_space_group_name_H-M_alt 'P 4/m m m'
_space_group_IT_number 123
_space_group_name_Hall '-P 4 2'
loop_
_atom_site_label
_atom_site_type_symbol
_atom_site_fract_x
_atom_site_fract_y
_atom_site_fract_z
K1 K 0.000 0.000 0.000
Mg1 Mg 0.000 0.500 0.500
In1 In 0.500 0.500 0.000
Pd1 Pd 0.500 0.500 0.500
# **DFT total energy**: -0.0985 hartree per atom
# **D(E_F)**: 1.95 states/eV/cell

[4]
# K2MgIn12Pt3 | the Alexandria database | PBE | relaxed
data_K2MgIn12Pt3
_cell_length_a 10.1926
_cell_length_b 10.1926
_cell_length_c 19.3724
_cell_angle_alpha 90.00
_cell_angle_beta 90.00
_cell_angle_gamma 120.00
_space_group_name_H-M_alt 'R -3 m'
_space_group_IT_number 166
_space_group_name_Hall '-R 3 2"'
loop_
_atom_site_label
_atom_site_type_symbol
_atom_site_fract_x
_atom_site_fract_y
_atom_site_fract_z
K1 K 0.0000 0.0000 0.0941
Mg1 Mg 0.0000 0.0000 0.5000
In1 In 0.0083 0.5042 0.8611
In2 In 0.0967 0.5483 0.3096
Pt1 Pt 0.0000 0.5000 0.0000
# **DFT total energy**: -0.1154 hartree per atom
# **D(E_F)**: 35.54 states/eV/cell

> Number 4 is which compound?

K2MgIn12Pt3